TcPOsO2 | GGA-PBE | relaxed

Computed properties:
- Magnetization: 3.215 μB/f.u.
- Energy relative to the lowest polymorph listed for this composition: 0.00 kcal/mol of atoms
- Raw total energy: -36.82 eV for the cell shown

a b c (Å): 3.709 3.709 5.472
angles (deg): 90.00 90.00 90.00
Space group P4/mmm (No. 123)
Symmetry-distinct sites (fractional):
Tc (0.000, 0.000, 0.000) (multiplicity 1)
P (0.500, 0.500, 0.000) (multiplicity 1)
Os (0.500, 0.500, 0.500) (multiplicity 1)
O (0.000, 0.500, 0.500) (multiplicity 2)

=====

Ac3TbPr3Te8 | GGA-PBE | relaxed

Computed properties:
- Magnetization: 0.000 μB/f.u.
- Raw total energy: -235.92 eV for the cell shown

a b c (Å): 9.1478 9.1478 22.8895
angles (deg): 90.00 90.00 120.00
Space group R-3m (No. 166, hexagonal axes)
Symmetry-distinct sites (fractional):
Ac (0.0000, 0.5000, 0.0000) (multiplicity 9)
Tb (0.0000, 0.0000, 0.5000) (multiplicity 3)
Pr (0.0000, 0.5000, 0.5000) (multiplicity 9)
Te (0.0000, 0.0000, 0.2461) (multiplicity 6)
Te (0.0028, 0.5014, 0.2455) (multiplicity 18)

=====

LaNd3Tm2As6 | GGA-PBE | relaxed

Computed properties:
- Magnetization: 0.000 μB/f.u.
- ΔH_f (0 K): -1.500 eV/atom
- Raw total energy: -148.15 eV for the cell shown

a b c (Å): 7.317 12.672 7.315
angles (deg): 90.00 109.49 90.00
Space group C2/m (No. 12)
Symmetry-distinct sites (fractional):
La (0.000, 0.000, 0.000) (multiplicity 2)
Nd (0.000, 0.165, 0.500) (multiplicity 4)
Nd (0.000, 0.500, 0.500) (multiplicity 2)
Tm (0.000, 0.333, 0.000) (multiplicity 4)
As (0.238, 0.500, 0.241) (multiplicity 4)
As (0.248, 0.329, 0.757) (multiplicity 8)

=====

ZrTa12 | GGA-PBE | relaxed

Computed properties:
- Magnetization: 0.000 μB/f.u.
- ΔH_f (0 K): 0.163 eV/atom
- Raw total energy: -297.32 eV for the cell shown

a b c (Å): 9.609 9.609 5.464
angles (deg): 90.00 90.00 90.00
Space group I4/mmm (No. 139)
Symmetry-distinct sites (fractional):
Zr (0.000, 0.000, 0.000) (multiplicity 2)
Ta (0.000, 0.208, 0.500) (multiplicity 8)
Ta (0.000, 0.357, 0.000) (multiplicity 8)
Ta (0.250, 0.250, 0.250) (multiplicity 8)

=====

InIrAu2 | GGA-PBE | relaxed

Computed properties:
- Magnetization: 0.000 μB/f.u.
- ΔH_f (0 K): 0.057 eV/atom
- Raw total energy: -17.93 eV for the cell shown

a b c (Å): 4.768 3.122 4.983
angles (deg): 90.00 106.96 90.00
Space group P2/m (No. 10)
Symmetry-distinct sites (fractional):
In (0.000, 0.000, 0.000) (multiplicity 1)
Ir (0.500, 0.500, 0.000) (multiplicity 1)
Au (0.000, 0.500, 0.500) (multiplicity 1)
Au (0.500, 0.000, 0.500) (multiplicity 1)

=====

HfCr2RhBr | GGA-PBE | relaxed

Computed properties:
- Magnetization: 8.157 μB/f.u.
- Raw total energy: -30.03 eV for the cell shown

a b c (Å): 4.937 4.937 4.957
angles (deg): 90.00 90.00 90.00
Space group P4/mmm (No. 123)
Symmetry-distinct sites (fractional):
Hf (0.000, 0.000, 0.000) (multiplicity 1)
Cr (0.000, 0.500, 0.000) (multiplicity 2)
Rh (0.500, 0.500, 0.500) (multiplicity 1)
Br (0.000, 0.000, 0.500) (multiplicity 1)

=====

Sm2InP3Rh12 | GGA-PBE | relaxed

Computed properties:
- Magnetization: 0.000 μB/f.u.
- ΔH_f (0 K): -0.249 eV/atom
- Raw total energy: -363.29 eV for the cell shown

a b c (Å): 8.9547 8.9547 12.9566
angles (deg): 90.00 90.00 120.00
Space group R-3m (No. 166, hexagonal axes)
Symmetry-distinct sites (fractional):
Sm (0.0000, 0.0000, 0.1257) (multiplicity 6)
In (0.0000, 0.0000, 0.5000) (multiplicity 3)
P (0.0000, 0.5000, 0.0000) (multiplicity 9)
Rh (0.0053, 0.5026, 0.8287) (multiplicity 18)
Rh (0.0265, 0.5133, 0.3804) (multiplicity 18)

=====

LiY2InC | GGA-PBE | relaxed

Computed properties:
- Magnetization: 0.000 μB/f.u.
- ΔH_f (0 K): -0.222 eV/atom
- Raw total energy: -27.91 eV for the cell shown

a b c (Å): 4.916 4.916 4.423
angles (deg): 90.00 90.00 90.00
Space group P4/mmm (No. 123)
Symmetry-distinct sites (fractional):
Li (0.000, 0.000, 0.000) (multiplicity 1)
Y (0.000, 0.500, 0.500) (multiplicity 2)
In (0.500, 0.500, 0.000) (multiplicity 1)
C (0.000, 0.000, 0.500) (multiplicity 1)

=====

LaNd4Tm4 | GGA-PBE | relaxed

Computed properties:
- Magnetization: 0.000 μB/f.u.
- ΔH_f (0 K): 0.025 eV/atom
- Raw total energy: -83.32 eV for the cell shown

a b c (Å): 10.836 10.836 5.068
angles (deg): 90.00 90.00 90.00
Space group I4/mmm (No. 139)
Symmetry-distinct sites (fractional):
La (0.000, 0.000, 0.000) (multiplicity 2)
Nd (0.000, 0.331, 0.000) (multiplicity 8)
Tm (0.168, 0.168, 0.500) (multiplicity 8)

=====

NaCdHg3 | GGA-PBE | relaxed

Computed properties:
- Magnetization: 0.000 μB/f.u.
- Energy relative to the lowest polymorph listed for this composition: 1.69 kcal/mol of atoms
- ΔH_f (0 K): -0.061 eV/atom
- Raw total energy: -6.89 eV for the cell shown

a b c (Å): 4.472 4.472 13.830
angles (deg): 90.00 90.00 90.00
Space group I4mm (No. 107)
Symmetry-distinct sites (fractional):
Na (0.000, 0.000, 0.000) (multiplicity 2)
Cd (0.000, 0.000, 0.623) (multiplicity 2)
Hg (0.000, 0.000, 0.421) (multiplicity 2)
Hg (0.000, 0.500, 0.267) (multiplicity 4)

=====

BaLiAcCd | GGA-PBE | relaxed

Computed properties:
- Magnetization: 0.000 μB/f.u.
- ΔH_f (0 K): -0.090 eV/atom
- Raw total energy: -36.87 eV for the cell shown

a b c (Å): 8.345 8.345 8.345
angles (deg): 90.00 90.00 90.00
Space group F-43m (No. 216)
Symmetry-distinct sites (fractional):
Ba (0.000, 0.000, 0.000) (multiplicity 4)
Li (0.250, 0.250, 0.750) (multiplicity 4)
Ac (0.000, 0.000, 0.500) (multiplicity 4)
Cd (0.250, 0.250, 0.250) (multiplicity 4)

=====

HgRh2Se | GGA-PBE | relaxed

Computed properties:
- Magnetization: 0.000 μB/f.u.
- Raw total energy: -18.12 eV for the cell shown

a b c (Å): 3.096 3.891 5.860
angles (deg): 90.00 90.00 90.00
Space group Pmmm (No. 47)
Symmetry-distinct sites (fractional):
Hg (0.000, 0.000, 0.000) (multiplicity 1)
Rh (0.500, 0.500, 0.251) (multiplicity 2)
Se (0.500, 0.000, 0.500) (multiplicity 1)

=====

Tb2InGa | GGA-PBE | relaxed

Computed properties:
- Magnetization: 0.000 μB/f.u.
- Energy relative to the lowest polymorph listed for this composition: 0.00 kcal/mol of atoms
- ΔH_f (0 K): -0.526 eV/atom
- Raw total energy: -17.13 eV for the cell shown

a b c (Å): 3.616 3.616 7.651
angles (deg): 90.00 90.00 90.00
Space group P4/mmm (No. 123)
Symmetry-distinct sites (fractional):
Tb (0.000, 0.000, 0.235) (multiplicity 2)
In (0.500, 0.500, 0.500) (multiplicity 1)
Ga (0.500, 0.500, 0.000) (multiplicity 1)

=====

Eu3V5Se12 | GGA-PBE | relaxed

Computed properties:
- Magnetization: 28.000 μB/f.u.
- Raw total energy: -1103.95 eV for the cell shown

a b c (Å): 15.915 15.915 15.915
angles (deg): 90.00 90.00 90.00
Space group Ia-3d (No. 230)
Symmetry-distinct sites (fractional):
Eu (0.000, 0.250, 0.125) (multiplicity 24)
V (0.000, 0.000, 0.000) (multiplicity 16)
V (0.000, 0.250, 0.375) (multiplicity 24)
Se (0.034, 0.056, 0.648) (multiplicity 96)

=====

ZrBRh6 | GGA-PBE | relaxed

Computed properties:
- Magnetization: 0.000 μB/f.u.
- ΔH_f (0 K): -0.146 eV/atom
- Raw total energy: -181.51 eV for the cell shown

a b c (Å): 7.8789 7.8789 6.7004
angles (deg): 90.00 90.00 120.00
Space group R-3m (No. 166, hexagonal axes)
Symmetry-distinct sites (fractional):
Zr (0.0000, 0.0000, 0.0000) (multiplicity 3)
B (0.0000, 0.0000, 0.5000) (multiplicity 3)
Rh (0.0679, 0.5340, 0.3207) (multiplicity 18)

=====

Ba2TaBeRu | GGA-PBE | relaxed

Computed properties:
- Magnetization: 0.182 μB/f.u.
- ΔH_f (0 K): 1.330 eV/atom
- Raw total energy: -22.05 eV for the cell shown

a b c (Å): 5.908 5.908 4.182
angles (deg): 90.00 90.00 90.00
Space group P4/mmm (No. 123)
Symmetry-distinct sites (fractional):
Ba (0.000, 0.500, 0.000) (multiplicity 2)
Ta (0.000, 0.000, 0.500) (multiplicity 1)
Be (0.500, 0.500, 0.500) (multiplicity 1)
Ru (0.500, 0.500, 0.000) (multiplicity 1)

=====

Sc4Ga2AgAu | GGA-PBE | relaxed

Computed properties:
- Magnetization: 0.000 μB/f.u.
- ΔH_f (0 K): -0.586 eV/atom
- Raw total energy: -126.59 eV for the cell shown

a b c (Å): 4.8084 4.8084 23.5531
angles (deg): 90.00 90.00 120.00
Space group R-3m (No. 166, hexagonal axes)
Symmetry-distinct sites (fractional):
Sc (0.0000, 0.0000, 0.1234) (multiplicity 6)
Sc (0.0000, 0.0000, 0.3737) (multiplicity 6)
Ga (0.0000, 0.0000, 0.2469) (multiplicity 6)
Ag (0.0000, 0.0000, 0.5000) (multiplicity 3)
Au (0.0000, 0.0000, 0.0000) (multiplicity 3)

=====

La2Pm5Tm | GGA-PBE | relaxed

Computed properties:
- Magnetization: 0.000 μB/f.u.
- Energy relative to the lowest polymorph listed for this composition: 0.00 kcal/mol of atoms
- ΔH_f (0 K): 0.085 eV/atom
- Raw total energy: -299.20 eV for the cell shown

a b c (Å): 23.733 6.508 17.876
angles (deg): 90.00 125.92 90.00
Space group C2/c (No. 15)
Symmetry-distinct sites (fractional):
La (0.068, 0.045, 0.231) (multiplicity 8)
La (0.221, 0.425, 0.559) (multiplicity 8)
Pm (0.021, 0.456, 0.866) (multiplicity 8)
Pm (0.052, 0.173, 0.519) (multiplicity 8)
Pm (0.151, 0.077, 0.969) (multiplicity 8)
Pm (0.166, 0.465, 0.831) (multiplicity 8)
Pm (0.207, 0.127, 0.712) (multiplicity 8)
Tm (0.114, 0.347, 0.113) (multiplicity 8)

=====

Pm2Dy6Ho3Pb | GGA-PBE | relaxed

Computed properties:
- Magnetization: 0.000 μB/f.u.
- ΔH_f (0 K): -0.064 eV/atom
- Raw total energy: -110.64 eV for the cell shown

a b c (Å): 6.094 10.561 11.745
angles (deg): 90.00 100.00 90.00
Space group C2/m (No. 12)
Symmetry-distinct sites (fractional):
Pm (0.000, 0.166, 0.000) (multiplicity 4)
Dy (0.244, 0.500, 0.748) (multiplicity 4)
Dy (0.247, 0.336, 0.251) (multiplicity 8)
Ho (0.000, 0.000, 0.500) (multiplicity 2)
Ho (0.000, 0.333, 0.500) (multiplicity 4)
Pb (0.000, 0.500, 0.000) (multiplicity 2)

=====

Pm4AgHg5 | GGA-PBE | relaxed

Computed properties:
- Magnetization: 1.208 μB/f.u.
- Energy relative to the lowest polymorph listed for this composition: 0.62 kcal/mol of atoms
- ΔH_f (0 K): -0.381 eV/atom
- Raw total energy: -27.17 eV for the cell shown

a b c (Å): 3.768 3.768 18.440
angles (deg): 90.00 90.00 90.00
Space group P4/mmm (No. 123)
Symmetry-distinct sites (fractional):
Pm (0.000, 0.000, 0.105) (multiplicity 2)
Pm (0.000, 0.000, 0.314) (multiplicity 2)
Ag (0.000, 0.000, 0.500) (multiplicity 1)
Hg (0.500, 0.500, 0.000) (multiplicity 1)
Hg (0.500, 0.500, 0.208) (multiplicity 2)
Hg (0.500, 0.500, 0.415) (multiplicity 2)